(1)
An optimized crystal structure of Cu3AsSe2S2, computed with PBE. Values from VASP.

```
&SYSTEM
  ibrav = 0, nat = 8, ntyp = 4
/
ATOMIC_SPECIES
S 32.06 S.upf
Se 78.96 Se.upf
Cu 63.55 Cu.upf
As 74.92 As.upf
CELL_PARAMETERS angstrom
-5.348 -1.656 3.636
-6.471 -0.288 -1.528
-1.847 -5.060 -0.886
ATOMIC_POSITIONS crystal
S 0.878 0.382 0.122
S 0.382 0.878 0.618
Se 0.617 0.128 0.872
Se 0.128 0.617 0.383
Cu 0.739 0.739 0.761
Cu 0.512 0.512 0.488
Cu 0.239 0.239 0.261
As 0.006 0.006 0.994
```

Calculated values
E above lowest polymorph = 4 meV per atom
energy = -4.05 eV per atom
V = 161.9 Å³ per cell



(2)
An optimized crystal structure of Sr4TmRe2O12, computed with PBE. Values from VASP.

```
&SYSTEM
  ibrav = 0, nat = 19, ntyp = 4
/
ATOMIC_SPECIES
Sr 87.62 Sr.upf
Re 186.21 Re.upf
O 16.00 O.upf
Tm 168.93 Tm.upf
CELL_PARAMETERS angstrom
3.246 1.146 9.024
6.795 -2.395 6.431
7.227 3.167 5.570
ATOMIC_POSITIONS crystal
Sr 0.714 0.714 0.714
Sr 0.135 0.135 0.135
Sr 0.865 0.865 0.865
Sr 0.286 0.286 0.286
Re 0.424 0.424 0.424
Re 0.576 0.576 0.576
O 0.777 0.777 0.308
O 0.623 0.623 0.129
O 0.871 0.377 0.377
O 0.777 0.308 0.777
O 0.223 0.692 0.223
O 0.377 0.377 0.871
O 0.692 0.223 0.223
O 0.223 0.223 0.692
O 0.377 0.871 0.377
O 0.308 0.777 0.777
O 0.623 0.129 0.623
O 0.129 0.623 0.623
Tm 0.000 0.000 0.000
```

Calculated values
energy = -7.51 eV per atom
V = 250.8 Å³ per cell



(3)
An optimized crystal structure of Tb5Hg2Bi, computed with PBE. Values from VASP.

```
&SYSTEM
  ibrav = 0, nat = 16, ntyp = 3
/
ATOMIC_SPECIES
Hg 200.59 Hg.upf
Tb 158.93 Tb.upf
Bi 208.98 Bi.upf
CELL_PARAMETERS angstrom
-4.189 4.189 6.536
4.189 -4.189 6.536
4.189 4.189 -6.536
ATOMIC_POSITIONS crystal
Hg 0.641 0.859 0.500
Hg 0.359 0.141 0.500
Hg 0.859 0.359 0.217
Hg 0.141 0.641 0.783
Tb 0.299 0.494 0.500
Tb 0.006 0.201 0.500
Tb 0.201 0.701 0.195
Tb 0.000 0.000 0.000
Tb 0.494 0.994 0.195
Tb 0.701 0.506 0.500
Tb 0.799 0.299 0.805
Tb 0.506 0.006 0.805
Tb 0.500 0.500 0.000
Tb 0.994 0.799 0.500
Bi 0.750 0.750 0.000
Bi 0.250 0.250 0.000
```

Calculated values
energy = -3.97 eV per atom
V = 458.7 Å³ per cell



(4)
An optimized crystal structure of ZrTlTeS, computed with PBE. Values from VASP.

```
&SYSTEM
  ibrav = 0, nat = 4, ntyp = 4
/
ATOMIC_SPECIES
Tl 204.38 Tl.upf
Zr 91.22 Zr.upf
Te 127.60 Te.upf
S 32.06 S.upf
CELL_PARAMETERS angstrom
-2.371 -2.257 1.961
2.651 -1.536 -2.275
5.566 -0.134 6.576
ATOMIC_POSITIONS crystal
Tl 0.000 0.000 0.020
Zr 0.000 0.000 0.474
Te 0.667 0.333 0.697
S 0.333 0.667 0.310
```

Calculated values
energy = -5.46 eV per atom
V = 108.7 Å³ per cell



(5)
An optimized crystal structure of SnBiAu, computed with PBE. Values from VASP.

```
&SYSTEM
  ibrav = 0, nat = 3, ntyp = 3
/
ATOMIC_SPECIES
Sn 118.71 Sn.upf
Au 196.97 Au.upf
Bi 208.98 Bi.upf
CELL_PARAMETERS angstrom
-0.239 2.695 4.093
-1.308 4.723 -0.245
-4.357 1.432 1.744
ATOMIC_POSITIONS crystal
Sn 0.750 0.750 0.750
Au 0.000 0.000 0.000
Bi 0.250 0.250 0.250
```

Calculated values
E above lowest polymorph = 0 meV per atom
energy = -3.84 eV per atom
V = 83.5 Å³ per cell



(6)
An optimized crystal structure of SrRe2Tc, computed with PBE. Values from VASP.

```
&SYSTEM
  ibrav = 0, nat = 4, ntyp = 3
/
ATOMIC_SPECIES
Re 186.21 Re.upf
Tc 98.00 Tc.upf
Sr 87.62 Sr.upf
CELL_PARAMETERS angstrom
0.000 3.251 3.251
3.251 0.000 3.251
3.251 3.251 0.000
ATOMIC_POSITIONS crystal
Re 0.250 0.250 0.250
Re 0.000 0.000 0.000
Tc 0.500 0.500 0.500
Sr 0.750 0.750 0.750
```

Calculated values
energy = -8.26 eV per atom
V = 68.7 Å³ per cell



(7)
An optimized crystal structure of TmLuScZnIn2, computed with PBE. Values from VASP.

```
&SYSTEM
  ibrav = 0, nat = 6, ntyp = 5
/
ATOMIC_SPECIES
Lu 174.97 Lu.upf
In 114.82 In.upf
Tm 168.93 Tm.upf
Sc 44.96 Sc.upf
Zn 65.41 Zn.upf
CELL_PARAMETERS angstrom
-2.617 4.139 0.183
-2.058 -4.259 1.279
2.006 0.982 6.498
ATOMIC_POSITIONS crystal
Lu 0.000 0.000 0.504
In 0.667 0.333 0.749
In 0.333 0.667 0.251
Tm 0.000 0.000 0.996
Sc 0.667 0.333 0.251
Zn 0.333 0.667 0.750
```

Calculated values
energy = -3.99 eV per atom
V = 142.9 Å³ per cell



(8)
An optimized crystal structure of ReF6, computed with PBE. Values from VASP.

```
&SYSTEM
  ibrav = 0, nat = 14, ntyp = 2
/
ATOMIC_SPECIES
F 19.00 F.upf
Re 186.21 Re.upf
CELL_PARAMETERS angstrom
-2.337 3.709 1.149
-1.089 -3.911 2.013
5.667 1.629 6.187
ATOMIC_POSITIONS crystal
F 0.341 0.342 0.377
F 0.002 0.336 0.629
F 0.998 0.664 0.371
F 0.664 0.998 0.871
F 0.990 0.321 0.121
F 0.342 0.341 0.877
F 0.321 0.990 0.621
F 0.336 0.002 0.129
F 0.010 0.679 0.879
F 0.659 0.658 0.623
F 0.658 0.659 0.123
F 0.679 0.010 0.379
Re 0.667 0.333 0.250
Re 0.333 0.667 0.750
```

Calculated values
energy = -5.36 eV per atom
V = 154.9 Å³ per cell



(9)
An optimized crystal structure of BaSrSi3Pd, computed with PBE. Values from VASP.

```
&SYSTEM
  ibrav = 0, nat = 12, ntyp = 4
/
ATOMIC_SPECIES
Sr 87.62 Sr.upf
Si 28.09 Si.upf
Ba 137.33 Ba.upf
Pd 106.42 Pd.upf
CELL_PARAMETERS angstrom
0.000 4.827 7.256
4.219 0.000 7.256
4.219 4.827 0.000
ATOMIC_POSITIONS crystal
Sr 0.250 0.250 0.250
Sr 0.750 0.750 0.750
Si 0.834 0.834 0.166
Si 0.331 0.838 0.669
Si 0.162 0.669 0.838
Si 0.166 0.166 0.834
Si 0.669 0.162 0.331
Si 0.838 0.331 0.162
Ba 0.253 0.747 0.253
Ba 0.747 0.253 0.747
Pd 0.669 0.669 0.331
Pd 0.331 0.331 0.669
```

Calculated values
E above lowest polymorph = 0 meV per atom
energy = -4.78 eV per atom
V = 295.5 Å³ per cell



(10)
An optimized crystal structure of SmCdSn2, computed with PBE. Values from VASP.

```
&SYSTEM
  ibrav = 0, nat = 4, ntyp = 3
/
ATOMIC_SPECIES
Sn 118.71 Sn.upf
Cd 112.41 Cd.upf
Sm 150.36 Sm.upf
CELL_PARAMETERS angstrom
-3.635 -0.562 3.065
0.407 -4.754 -0.388
2.891 -0.032 3.423
ATOMIC_POSITIONS crystal
Sn 0.500 0.000 0.000
Sn 0.000 0.500 0.000
Cd 0.000 0.000 0.500
Sm 0.500 0.500 0.500
```

Calculated values
energy = -3.90 eV per atom
V = 102.7 Å³ per cell



(11)
An optimized crystal structure of PuUAs, computed with PBE. Values from VASP.

```
&SYSTEM
  ibrav = 0, nat = 3, ntyp = 3
/
ATOMIC_SPECIES
U 238.03 U.upf
Pu 244.00 Pu.upf
As 74.92 As.upf
CELL_PARAMETERS angstrom
0.000 3.259 3.259
3.259 0.000 3.259
3.259 3.259 0.000
ATOMIC_POSITIONS crystal
U 0.750 0.750 0.750
Pu 0.250 0.250 0.250
As 0.000 0.000 0.000
```

Calculated values
E above lowest polymorph = 0 meV per atom
energy = -10.08 eV per atom
V = 69.2 Å³ per cell



(12)
An optimized crystal structure of PrNd2In3IrAu2, computed with PBE. Values from VASP.

```
&SYSTEM
  ibrav = 0, nat = 9, ntyp = 5
/
ATOMIC_SPECIES
Au 196.97 Au.upf
In 114.82 In.upf
Nd 144.24 Nd.upf
Ir 192.22 Ir.upf
Pr 140.91 Pr.upf
CELL_PARAMETERS angstrom
4.116 0.000 0.000
0.000 6.779 3.915
0.000 -6.779 3.915
ATOMIC_POSITIONS crystal
Au 0.500 0.667 0.332
Au 0.500 0.332 0.667
In 0.500 0.000 0.754
In 0.500 0.246 0.246
In 0.500 0.754 0.000
Nd 0.000 0.000 0.400
Nd 0.000 0.400 0.000
Ir 0.000 0.001 0.001
Pr 0.000 0.599 0.599
```

Calculated values
energy = -4.92 eV per atom
V = 218.5 Å³ per cell